[1]
! PmInBiRh PBE optimized geometry; values from VASP
&SYSTEM
  ibrav = 0, nat = 16, ntyp = 4
/
ATOMIC_SPECIES
Pm 145.00 Pm.upf
In 114.82 In.upf
Bi 208.98 Bi.upf
Rh 102.91 Rh.upf
ATOMIC_POSITIONS angstrom
Pm 0.0000 0.0000 0.0000
Pm 0.0000 3.6306 3.6306
Pm 3.6306 0.0000 3.6306
Pm 3.6306 3.6306 0.0000
In 1.8153 1.8153 1.8153
In 1.8153 5.4460 5.4460
In 5.4460 1.8153 5.4460
In 5.4460 5.4460 1.8153
Bi 0.0000 0.0000 3.6306
Bi 0.0000 3.6306 0.0000
Bi 3.6306 0.0000 0.0000
Bi 3.6306 3.6306 3.6306
Rh 1.8153 1.8153 5.4460
Rh 1.8153 5.4460 1.8153
Rh 5.4460 1.8153 1.8153
Rh 5.4460 5.4460 5.4460
CELL_PARAMETERS angstrom
7.2613 0.0000 0.0000
0.0000 7.2613 0.0000
0.0000 0.0000 7.2613
! * N(E_F): 1.57 states/eV per cell
! * space-group type: F-43m
! * calculated formation energy: -1.3 eV per formula unit
! * volume: 23.93 Å³ per atom


[2]
! PmScInBi PBE optimized geometry; values from VASP
&SYSTEM
  ibrav = 0, nat = 16, ntyp = 4
/
ATOMIC_SPECIES
Pm 145.00 Pm.upf
Sc 44.96 Sc.upf
In 114.82 In.upf
Bi 208.98 Bi.upf
ATOMIC_POSITIONS angstrom
Pm 0.0000 0.0000 0.0000
Pm 0.0000 3.7948 3.7948
Pm 3.7948 0.0000 3.7948
Pm 3.7948 3.7948 0.0000
Sc 0.0000 0.0000 3.7948
Sc 0.0000 3.7948 0.0000
Sc 3.7948 0.0000 0.0000
Sc 3.7948 3.7948 3.7948
In 1.8974 1.8974 1.8974
In 1.8974 5.6922 5.6922
In 5.6922 1.8974 5.6922
In 5.6922 5.6922 1.8974
Bi 1.8974 1.8974 5.6922
Bi 1.8974 5.6922 1.8974
Bi 5.6922 1.8974 1.8974
Bi 5.6922 5.6922 5.6922
CELL_PARAMETERS angstrom
7.5896 0.0000 0.0000
0.0000 7.5896 0.0000
0.0000 0.0000 7.5896
! * N(E_F): 16.73 states/eV per cell
! * space-group type: F-43m
! * calculated formation energy: -1.6 eV per formula unit
! * volume: 27.32 Å³ per atom


[3]
! PmSmInBi PBE optimized geometry; values from VASP
&SYSTEM
  ibrav = 0, nat = 16, ntyp = 4
/
ATOMIC_SPECIES
Pm 145.00 Pm.upf
Sm 150.36 Sm.upf
In 114.82 In.upf
Bi 208.98 Bi.upf
ATOMIC_POSITIONS angstrom
Pm 0.0000 0.0000 0.0000
Pm 0.0000 3.9090 3.9090
Pm 3.9090 0.0000 3.9090
Pm 3.9090 3.9090 0.0000
Sm 0.0000 0.0000 3.9090
Sm 0.0000 3.9090 0.0000
Sm 3.9090 0.0000 0.0000
Sm 3.9090 3.9090 3.9090
In 1.9545 1.9545 1.9545
In 1.9545 5.8635 5.8635
In 5.8635 1.9545 5.8635
In 5.8635 5.8635 1.9545
Bi 1.9545 1.9545 5.8635
Bi 1.9545 5.8635 1.9545
Bi 5.8635 1.9545 1.9545
Bi 5.8635 5.8635 5.8635
CELL_PARAMETERS angstrom
7.8179 0.0000 0.0000
0.0000 7.8179 0.0000
0.0000 0.0000 7.8179
! * N(E_F): 16.83 states/eV per cell
! * space-group type: F-43m
! * calculated formation energy: -2.0 eV per formula unit
! * volume: 29.86 Å³ per atom


[4]
! SrPmInBi PBE optimized geometry; values from VASP
&SYSTEM
  ibrav = 0, nat = 16, ntyp = 4
/
ATOMIC_SPECIES
Sr 87.62 Sr.upf
Pm 145.00 Pm.upf
In 114.82 In.upf
Bi 208.98 Bi.upf
ATOMIC_POSITIONS angstrom
Sr 0.0000 0.0000 0.0000
Sr 0.0000 4.0087 4.0087
Sr 4.0087 0.0000 4.0087
Sr 4.0087 4.0087 0.0000
Pm 0.0000 0.0000 4.0087
Pm 0.0000 4.0087 0.0000
Pm 4.0087 0.0000 0.0000
Pm 4.0087 4.0087 4.0087
In 2.0044 2.0044 6.0131
In 2.0044 6.0131 2.0044
In 6.0131 2.0044 2.0044
In 6.0131 6.0131 6.0131
Bi 2.0044 2.0044 2.0044
Bi 2.0044 6.0131 6.0131
Bi 6.0131 2.0044 6.0131
Bi 6.0131 6.0131 2.0044
CELL_PARAMETERS angstrom
8.0174 0.0000 0.0000
0.0000 8.0174 0.0000
0.0000 0.0000 8.0174
! * N(E_F): 13.83 states/eV per cell
! * space-group type: F-43m
! * calculated formation energy: -1.9 eV per formula unit
! * volume: 32.21 Å³ per atom


[5]
! TbPmInBi PBE optimized geometry; values from VASP
&SYSTEM
  ibrav = 0, nat = 16, ntyp = 4
/
ATOMIC_SPECIES
Tb 158.93 Tb.upf
Pm 145.00 Pm.upf
In 114.82 In.upf
Bi 208.98 Bi.upf
ATOMIC_POSITIONS angstrom
Tb 0.0000 0.0000 0.0000
Tb 0.0000 3.8833 3.8833
Tb 3.8833 0.0000 3.8833
Tb 3.8833 3.8833 0.0000
Pm 0.0000 0.0000 3.8833
Pm 0.0000 3.8833 0.0000
Pm 3.8833 0.0000 0.0000
Pm 3.8833 3.8833 3.8833
In 1.9416 1.9416 5.8249
In 1.9416 5.8249 1.9416
In 5.8249 1.9416 1.9416
In 5.8249 5.8249 5.8249
Bi 1.9416 1.9416 1.9416
Bi 1.9416 5.8249 5.8249
Bi 5.8249 1.9416 5.8249
Bi 5.8249 5.8249 1.9416
CELL_PARAMETERS angstrom
7.7665 0.0000 0.0000
0.0000 7.7665 0.0000
0.0000 0.0000 7.7665
! * N(E_F): 15.02 states/eV per cell
! * space-group type: F-43m
! * calculated formation energy: -1.9 eV per formula unit
! * volume: 29.28 Å³ per atom


[6]
! Pm6InBi2Te3 PBE optimized geometry; values from VASP
&SYSTEM
  ibrav = 0, nat = 12, ntyp = 4
/
ATOMIC_SPECIES
Pm 145.00 Pm.upf
In 114.82 In.upf
Bi 208.98 Bi.upf
Te 127.60 Te.upf
ATOMIC_POSITIONS angstrom
Pm -0.5094 0.0000 2.2599
Pm 4.6637 0.0000 8.1367
Pm 5.7721 0.0000 3.7062
Pm 11.8623 0.0000 5.1587
Pm 12.9706 0.0000 0.7282
Pm 18.1437 0.0000 6.6049
In 8.8172 0.0000 4.4324
Bi 1.5641 0.0000 7.3894
Bi 16.0702 0.0000 1.4754
Te 2.6394 0.0000 2.9553
Te 9.8433 0.0000 0.0000
Te 14.9949 0.0000 5.9096
CELL_PARAMETERS angstrom
9.8433 -2.2418 0.0000
9.8433 2.2418 0.0000
-2.0523 0.0000 8.8649
! * N(E_F): 3.71 states/eV per cell
! * space-group type: C2/m
! * volume: 32.60 Å³ per atom
! * energy relative to the elements, uncorrected: -106.1 kJ per mole of atoms


[7]
! PmYInBi PBE optimized geometry; values from VASP
&SYSTEM
  ibrav = 0, nat = 16, ntyp = 4
/
ATOMIC_SPECIES
Pm 145.00 Pm.upf
Y 88.91 Y.upf
In 114.82 In.upf
Bi 208.98 Bi.upf
ATOMIC_POSITIONS angstrom
Pm 0.0000 0.0000 0.0000
Pm 0.0000 3.8805 3.8805
Pm 3.8805 0.0000 3.8805
Pm 3.8805 3.8805 0.0000
Y 0.0000 0.0000 3.8805
Y 0.0000 3.8805 0.0000
Y 3.8805 0.0000 0.0000
Y 3.8805 3.8805 3.8805
In 1.9403 1.9403 1.9403
In 1.9403 5.8208 5.8208
In 5.8208 1.9403 5.8208
In 5.8208 5.8208 1.9403
Bi 1.9403 1.9403 5.8208
Bi 1.9403 5.8208 1.9403
Bi 5.8208 1.9403 1.9403
Bi 5.8208 5.8208 5.8208
CELL_PARAMETERS angstrom
7.7611 0.0000 0.0000
0.0000 7.7611 0.0000
0.0000 0.0000 7.7611
! * N(E_F): 15.45 states/eV per cell
! * space-group type: F-43m
! * calculated formation energy: -1.9 eV per formula unit
! * volume: 29.22 Å³ per atom


[8]
! Pr2InBi4 PBE optimized geometry; values from VASP
&SYSTEM
  ibrav = 0, nat = 7, ntyp = 3
/
ATOMIC_SPECIES
Pr 140.91 Pr.upf
In 114.82 In.upf
Bi 208.98 Bi.upf
ATOMIC_POSITIONS angstrom
Pr 0.0000 2.3013 2.5610
Pr 2.3013 0.0000 8.3874
In 0.0000 0.0000 5.4742
Bi 0.0000 0.0000 0.0000
Bi 0.0000 2.3013 7.4873
Bi 2.3013 0.0000 3.4611
Bi 2.3013 2.3013 0.0000
CELL_PARAMETERS angstrom
4.6027 0.0000 0.0000
0.0000 4.6027 0.0000
0.0000 0.0000 10.9484
! * N(E_F): 2.55 states/eV per cell
! * space-group type: P-4m2
! * calculated formation energy: -3.7 eV per formula unit
! * volume: 33.13 Å³ per atom


no.,DFT total energy (eV/atom)
1,-5.0152
2,-4.8222
3,-4.5168
4,-3.7469
5,-4.4775
6,-5.1352
7,-4.9440
8,-4.4989